(1)
# CaPb

A relaxed structure of CaPb (PBE, the Alexandria database).

Formation enthalpy at 0 K ... -0.117 eV/atom
Spin magnetization ... 0.00 μB/cell
Symmetry ... P-3m1, No. 164

Lattice parameters (Å, degrees): 3.961 3.961 10.348 90.00 90.00 120.00
Sites, in units of the cell vectors:
Pb: 0.000 0.000 0.517
Pb: 0.667 0.333 0.733
Ca: 0.000 0.000 0.974
Ca: 0.667 0.333 0.276

---

(2)
# CaPb

A relaxed structure of CaPb (PBE, the Alexandria database).

Formation enthalpy at 0 K ... -0.456 eV/atom
Spin magnetization ... 0.00 μB/cell
Symmetry ... Fddd, No. 70

Lattice parameters (Å, degrees): 3.695 18.487 14.939 90.00 90.00 90.00
Sites, in units of the cell vectors:
Ca: 0.000 0.871 0.000
Ca: 0.000 0.129 0.000
Ca: 0.250 0.879 0.250
Ca: 0.250 0.621 0.250
Ca: 0.000 0.371 0.500
Ca: 0.000 0.629 0.500
Ca: 0.250 0.379 0.750
Ca: 0.250 0.121 0.750
Ca: 0.500 0.871 0.500
Ca: 0.500 0.129 0.500
Ca: 0.750 0.879 0.750
Ca: 0.750 0.621 0.750
Ca: 0.500 0.371 0.000
Ca: 0.500 0.629 0.000
Ca: 0.750 0.379 0.250
Ca: 0.750 0.121 0.250
Pb: 0.000 0.000 0.393
Pb: 0.000 0.000 0.607
Pb: 0.250 0.750 0.857
Pb: 0.250 0.750 0.643
Pb: 0.000 0.500 0.893
Pb: 0.000 0.500 0.107
Pb: 0.250 0.250 0.357
Pb: 0.250 0.250 0.143
Pb: 0.500 0.000 0.893
Pb: 0.500 0.000 0.107
Pb: 0.750 0.750 0.357
Pb: 0.750 0.750 0.143
Pb: 0.500 0.500 0.393
Pb: 0.500 0.500 0.607
Pb: 0.750 0.250 0.857
Pb: 0.750 0.250 0.643

---

(3)
# Ca2Pb3

A relaxed structure of Ca2Pb3 (PBE, the Alexandria database).

Formation enthalpy at 0 K ... -0.241 eV/atom
Spin magnetization ... 0.00 μB/cell
Symmetry ... R-3m, No. 166

Lattice parameters (Å, degrees): 11.030 11.030 11.030 22.36 22.36 22.36
Sites, in units of the cell vectors:
Ca: 0.400 0.400 0.400
Ca: 0.600 0.600 0.600
Pb: 0.000 0.000 0.000
Pb: 0.806 0.806 0.806
Pb: 0.194 0.194 0.194

---

(4)
# CaPb3

A relaxed structure of CaPb3 (PBE, the Alexandria database).

Formation enthalpy at 0 K ... -0.318 eV/atom
Spin magnetization ... 0.00 μB/cell
Symmetry ... Pm-3m, No. 221

Lattice parameters (Å, degrees): 4.941 4.941 4.941 90.00 90.00 90.00
Sites, in units of the cell vectors:
Pb: 0.000 0.500 0.500
Pb: 0.500 0.000 0.500
Pb: 0.500 0.500 0.000
Ca: 0.000 0.000 0.000

---

(5)
# CaPb5

A relaxed structure of CaPb5 (PBE, the Alexandria database).

Formation enthalpy at 0 K ... -0.144 eV/atom
Polymorph energy (0 for the lowest one) ... 32 meV per atom
Spin magnetization ... 0.00 μB/cell
Symmetry ... P2/m, No. 10

Lattice parameters (Å, degrees): 5.776 5.739 6.328 90.00 116.58 90.00
Sites, in units of the cell vectors:
Ca: 0.972 0.000 0.944
Pb: 0.813 0.500 0.624
Pb: 0.653 0.000 0.306
Pb: 0.472 0.500 0.944
Pb: 0.291 0.000 0.583
Pb: 0.132 0.500 0.265

---

(6)
# CaPb3

A relaxed structure of CaPb3 (PBE, the Alexandria database).

Formation enthalpy at 0 K ... -0.155 eV/atom
Spin magnetization ... 0.00 μB/cell
Symmetry ... Pm-3n, No. 223

Lattice parameters (Å, degrees): 6.301 6.301 6.301 90.00 90.00 90.00
Sites, in units of the cell vectors:
Ca: 0.000 0.000 0.000
Ca: 0.500 0.500 0.500
Pb: 0.750 0.500 0.000
Pb: 0.250 0.500 0.000
Pb: 0.000 0.750 0.500
Pb: 0.000 0.250 0.500
Pb: 0.500 0.000 0.250
Pb: 0.500 0.000 0.750